This record from OQMD describes crystalline SmAlPd at its relaxed geometry. The functional is PBE.

a b c (Å): 7.0823 4.5150 7.8049
angles (deg): 90.00 90.00 90.00
Atoms (fractional coordinates):
Sm1 0.0333 0.2500 0.1824
Sm2 0.4667 0.7500 0.6824
Sm3 0.5333 0.2500 0.3176
Sm4 0.9667 0.7500 0.8176
Al1 0.1481 0.2500 0.5674
Al2 0.3519 0.7500 0.0674
Al3 0.6481 0.2500 0.9326
Al4 0.8519 0.7500 0.4326
Pd1 0.2196 0.7500 0.3889
Pd2 0.2804 0.2500 0.8889
Pd3 0.7196 0.7500 0.1111
Pd4 0.7804 0.2500 0.6111

Output
DFT total energy: -5.39 eV/atom

This record from OQMD describes crystalline NdThSi at its relaxed geometry. The functional is PBE.

a b c (Å): 7.0480 7.0480 7.0480
angles (deg): 90.00 90.00 90.00
Atoms (fractional coordinates):
Nd1 0.0000 0.0000 0.0000
Nd2 0.0000 0.5000 0.5000
Nd3 0.5000 0.0000 0.5000
Nd4 0.5000 0.5000 0.0000
Th1 0.0000 0.0000 0.5000
Th2 0.0000 0.5000 0.0000
Th3 0.5000 0.0000 0.0000
Th4 0.5000 0.5000 0.5000
Si1 0.2500 0.2500 0.2500
Si2 0.2500 0.7500 0.7500
Si3 0.7500 0.2500 0.7500
Si4 0.7500 0.7500 0.2500

Output
ΔE to the lowest computed polymorph: 0.0 kJ per mole of atoms

These records have spin magnetization values of 0.0 0.0 μB per cell, in the order they appear.